Arrangement w

Compound: Pr3Sm4Y
Source: Alexandria via LeMat-Bulk
Functional: PBE
Structure: optimized geometry Values from VASP.

Geometry as Quantum ESPRESSO input:
```
&SYSTEM
  ibrav = 0, nat = 16, ntyp = 3
/
ATOMIC_SPECIES
Pr 140.91 Pr.upf
Sm 150.36 Sm.upf
Y 88.91 Y.upf
ATOMIC_POSITIONS angstrom
Pr 0.000 0.000 0.000
Pr 2.584 1.838 1.825
Pr 2.584 5.470 5.476
Pr 5.167 0.000 3.651
Pr 7.751 1.838 1.825
Pr 7.751 5.470 5.476
Sm 0.000 0.000 3.651
Sm 0.000 3.654 0.000
Sm 2.584 1.837 5.476
Sm 2.584 5.471 1.825
Sm 5.167 0.000 0.000
Sm 5.167 3.654 3.651
Sm 7.751 1.837 5.476
Sm 7.751 5.471 1.825
Y 0.000 3.654 3.651
Y 5.167 3.654 0.000
CELL_PARAMETERS angstrom
10.335 0.000 0.000
0.000 7.308 0.000
0.000 0.000 7.301
```

Arrangement x

Compound: Pr3Sm4Y
Source: Alexandria via LeMat-Bulk
Functional: PBE
Structure: optimized geometry Values from VASP.

Geometry as Quantum ESPRESSO input:
```
&SYSTEM
  ibrav = 0, nat = 16, ntyp = 3
/
ATOMIC_SPECIES
Pr 140.91 Pr.upf
Sm 150.36 Sm.upf
Y 88.91 Y.upf
ATOMIC_POSITIONS angstrom
Pr 0.000 0.943 0.000
Pr 2.953 0.931 2.143
Pr 2.946 6.475 5.339
Pr 5.899 6.463 3.195
Pr 8.845 0.931 2.143
Pr 8.851 6.475 5.339
Sm 0.000 2.784 3.203
Sm 0.000 4.613 6.387
Sm 2.926 4.618 2.128
Sm 2.972 2.788 5.323
Sm 5.899 2.794 3.192
Sm 5.899 4.622 0.007
Sm 8.825 2.788 5.323
Sm 8.871 4.618 2.128
Y 0.000 6.464 3.183
Y 5.899 0.942 6.378
CELL_PARAMETERS angstrom
11.798 0.000 0.000
0.000 7.406 0.000
0.000 0.000 6.390
```

What should be chosen as the least stable of them? Choose arrangement x.

Arrangement w

Compound: PrSm2Y2
Source: Alexandria via LeMat-Bulk
Functional: PBE
Structure: optimized geometry Values from VASP.

Geometry as Quantum ESPRESSO input:
```
&SYSTEM
  ibrav = 0, nat = 10, ntyp = 3
/
ATOMIC_SPECIES
Pr 140.91 Pr.upf
Sm 150.36 Sm.upf
Y 88.91 Y.upf
ATOMIC_POSITIONS angstrom
Pr 0.000 1.771 1.965
Pr 2.928 1.771 6.326
Sm 2.928 -0.036 3.163
Sm 2.928 3.506 -3.163
Sm 0.000 0.036 11.454
Sm 0.000 3.579 5.128
Y 2.928 -1.771 6.426
Y 2.928 1.771 0.050
Y 0.000 1.771 8.241
Y 0.000 5.314 1.865
CELL_PARAMETERS angstrom
-2.928 3.543 8.291
2.928 -3.543 8.291
2.928 3.543 -8.291
```

Arrangement x

Compound: PrSm2Y2
Source: Alexandria via LeMat-Bulk
Functional: PBE
Structure: optimized geometry Values from VASP.

Geometry as Quantum ESPRESSO input:
```
&SYSTEM
  ibrav = 0, nat = 10, ntyp = 3
/
ATOMIC_SPECIES
Pr 140.91 Pr.upf
Sm 150.36 Sm.upf
Y 88.91 Y.upf
ATOMIC_POSITIONS angstrom
Pr 2.782 6.692 3.562
Pr 2.782 -6.692 0.000
Sm 2.782 6.665 0.018
Sm 2.782 3.385 1.795
Sm 2.782 -3.385 5.358
Sm 2.782 -6.665 3.580
Y 2.782 3.401 5.357
Y 2.782 0.000 1.782
Y 2.782 0.000 5.344
Y 2.782 -3.401 1.795
CELL_PARAMETERS angstrom
2.782 -8.538 0.000
2.782 8.538 0.000
0.000 0.000 7.125
```

What should be chosen as the least stable of them? Choose arrangement w.

Arrangement w

Compound: Pr4Sm5Y
Source: Alexandria via LeMat-Bulk
Functional: PBE
Structure: optimized geometry Values from VASP.

Geometry as Quantum ESPRESSO input:
```
&SYSTEM
  ibrav = 0, nat = 10, ntyp = 3
/
ATOMIC_SPECIES
Pr 140.91 Pr.upf
Sm 150.36 Sm.upf
Y 88.91 Y.upf
ATOMIC_POSITIONS angstrom
Pr 2.272 0.000 2.173
Pr 6.906 0.000 6.508
Pr 18.182 0.000 0.719
Pr 22.816 0.000 5.053
Sm 1.745 0.000 5.771
Sm 7.430 0.000 2.890
Sm 12.544 0.000 3.613
Sm 17.658 0.000 4.337
Sm 23.343 0.000 1.456
Y 13.073 0.000 0.000
CELL_PARAMETERS angstrom
13.073 -1.832 0.000
13.073 1.832 0.000
-1.058 0.000 7.227
```

Arrangement x

Compound: Pr4Sm5Y
Source: Alexandria via LeMat-Bulk
Functional: PBE
Structure: optimized geometry Values from VASP.

Geometry as Quantum ESPRESSO input:
```
&SYSTEM
  ibrav = 0, nat = 20, ntyp = 3
/
ATOMIC_SPECIES
Pr 140.91 Pr.upf
Sm 150.36 Sm.upf
Y 88.91 Y.upf
ATOMIC_POSITIONS angstrom
Pr 0.485 8.166 0.771
Pr 2.722 5.929 5.081
Pr 2.722 10.404 5.081
Pr 4.959 8.166 0.771
Pr 5.929 2.722 5.081
Pr 8.166 0.485 0.771
Pr 8.166 4.959 0.771
Pr 10.404 2.722 5.081
Sm 0.962 0.962 1.965
Sm 0.962 4.482 1.965
Sm 2.722 8.166 2.926
Sm 4.482 0.962 1.965
Sm 4.482 4.482 1.965
Sm 6.406 6.406 3.887
Sm 6.406 9.926 3.887
Sm 8.166 2.722 2.926
Sm 9.926 6.406 3.887
Sm 9.926 9.926 3.887
Y 2.722 2.722 5.057
Y 8.166 8.166 0.795
CELL_PARAMETERS angstrom
10.888 0.000 0.000
0.000 10.888 0.000
0.000 0.000 5.852
```

What should be chosen as the least stable of them? Choose arrangement x.

Arrangement w

Compound: Pr8SmY2
Source: Alexandria via LeMat-Bulk
Functional: PBE
Structure: optimized geometry Values from VASP.

Geometry as Quantum ESPRESSO input:
```
&SYSTEM
  ibrav = 0, nat = 11, ntyp = 3
/
ATOMIC_SPECIES
Pr 140.91 Pr.upf
Sm 150.36 Sm.upf
Y 88.91 Y.upf
ATOMIC_POSITIONS angstrom
Pr 0.374 0.000 1.812
Pr 1.090 0.000 5.438
Pr 4.688 0.000 4.685
Pr 7.560 0.000 0.365
Pr 9.030 0.000 7.580
Pr 11.903 0.000 3.260
Pr 15.501 0.000 2.507
Pr 16.217 0.000 6.133
Sm 8.295 0.000 3.972
Y 3.966 0.000 1.069
Y 12.625 0.000 6.876
CELL_PARAMETERS angstrom
9.378 -2.607 0.000
9.378 2.607 0.000
-2.164 0.000 7.945
```

Arrangement x

Compound: Pr8SmY2
Source: Alexandria via LeMat-Bulk
Functional: PBE
Structure: optimized geometry Values from VASP.

Geometry as Quantum ESPRESSO input:
```
&SYSTEM
  ibrav = 0, nat = 11, ntyp = 3
/
ATOMIC_SPECIES
Pr 140.91 Pr.upf
Sm 150.36 Sm.upf
Y 88.91 Y.upf
ATOMIC_POSITIONS angstrom
Pr -0.313 2.005 3.440
Pr 4.638 4.972 0.000
Pr -0.313 -2.005 3.440
Pr 3.227 0.000 1.026
Pr 2.633 0.000 4.012
Pr 6.172 2.005 1.598
Pr 4.638 -4.972 0.000
Pr 6.172 -2.005 1.598
Sm 0.000 0.000 0.000
Y 2.930 3.195 2.519
Y 2.930 -3.195 2.519
CELL_PARAMETERS angstrom
4.638 -8.418 0.000
4.638 8.418 0.000
-3.417 0.000 5.038
```

What should be chosen as the least stable of them? Choose arrangement x.